DFT (PBE) results for an optimized crystal structure of La6Si2HCl3.

The space group is C2/m (No. 12) and the conventional cell measures 7.328, 12.653 and 7.303 Å, with angles of 90.00, 109.76 and 90.00 degrees. Symmetry generates all atoms from La at (0.243, 0.166, 0.234), La at (0.249, 0.500, 0.244), Si at (0.000, 0.335, 0.000), H at (0.000, 0.000, 0.000), Cl at (0.000, 0.176, 0.500) and Cl at (0.000, 0.500, 0.500).

The calculation puts the energy at -5.237 eV per atom. Its volume is 26.6 Å³/atom. Its crystal system is monoclinic. The calculation puts the spin magnetization at 0.01 μB/cell.